Record 1
Na2Cr3O9, optimized geometry, DFT PBE with a Hubbard U; total energy = -6.43 eV/atom
1.0
5.919 0.000 0.000
0.000 8.219 0.005
0.000 3.228 7.917
Na O Cr
4 18 6
Cartesian
1.480 9.088 5.955
4.439 7.125 0.744
4.439 2.359 1.966
1.480 4.322 7.178
0.141 8.707 1.523
3.072 7.005 5.457
1.480 3.084 0.541
4.439 4.618 4.779
1.480 9.557 3.663
4.439 8.364 7.380
1.480 4.923 4.779
0.112 4.442 2.465
2.847 4.442 2.465
1.480 6.830 3.142
5.806 7.005 5.457
3.100 2.741 6.398
4.439 1.890 4.259
1.480 5.738 0.432
5.778 2.741 6.398
2.818 8.707 1.523
4.439 6.524 3.142
4.439 5.709 7.490
4.439 2.965 5.468
1.480 8.482 2.453
2.959 5.724 3.961
0.000 5.724 3.961
1.480 4.442 1.422
4.439 7.006 6.499



Record 2
NaCrO3, optimized geometry, DFT PBE with a Hubbard U; total energy = -6.06 eV/atom
1.0
3.760 0.000 0.000
0.000 3.760 -0.001
0.000 0.001 3.760
O Cr Na
3 1 1
Cartesian
1.880 3.753 1.834
3.760 1.873 1.834
1.880 1.873 3.714
1.880 1.872 1.834
3.760 3.753 3.716



Q: Which formula does entry 1 have?
A: Na2Cr3O9